# 1
## Ba2TlCu3O6 (PBE)

Data for a relaxed structure of Ba2TlCu3O6.

abc: 3.896 3.896 12.173
angles: 90.00 90.00 90.00
Atoms (fractional coordinates):
1 Ba 0.500 0.500 0.196
2 Ba 0.500 0.500 0.804
3 Tl 0.500 0.500 0.500
4 Cu 0.000 0.000 0.362
5 Cu 0.000 0.000 0.638
6 Cu 0.000 0.000 0.000
7 O 0.000 0.500 0.623
8 O 0.500 0.000 0.377
9 O 0.500 0.000 0.623
10 O 0.000 0.000 0.149
11 O 0.000 0.500 0.377
12 O 0.000 0.000 0.851

Results
total magnetic moment = 0.000 μB per atom
E_tot = -5.27 eV/atom
formation energy from raw total energies = -15.0 eV/f.u.

=====

# 2
## BaTlCuO2 (PBE)

Data for a relaxed structure of BaTlCuO2.

abc: 4.141 6.919 7.084
angles: 90.00 90.00 107.41
Atoms (fractional coordinates):
1 Ba 0.700 0.400 0.750
2 Ba 0.300 0.600 0.250
3 Tl 0.427 0.854 0.750
4 Tl 0.573 0.146 0.250
5 Cu 0.000 0.000 0.000
6 Cu 0.000 0.000 0.500
7 O 0.141 0.281 0.996
8 O 0.859 0.719 0.004
9 O 0.141 0.281 0.504
10 O 0.859 0.719 0.496

Results
total magnetic moment = 0.000 μB per atom
E_tot = -4.97 eV/atom
energy above the most stable polymorph in this dataset = 0 meV/atom
formation energy from raw total energies = -6.5 eV/f.u.

=====

# 3
## BaTlCuO3 (PBE)

Data for a relaxed structure of BaTlCuO3.

abc: 3.590 7.350 7.891
angles: 104.54 90.00 90.00
Atoms (fractional coordinates):
1 Ba 0.250 0.194 0.226
2 Ba 0.750 0.806 0.774
3 Tl 0.250 0.667 0.155
4 Tl 0.750 0.333 0.845
5 Cu 0.250 0.111 0.580
6 Cu 0.750 0.889 0.420
7 O 0.750 0.891 0.142
8 O 0.250 0.109 0.858
9 O 0.250 0.785 0.463
10 O 0.750 0.215 0.537
11 O 0.750 0.443 0.145
12 O 0.250 0.557 0.855

Results
total magnetic moment = 0.000 μB per atom
E_tot = -5.01 eV/atom
formation energy from raw total energies = -6.8 eV/f.u.

=====

# 4
## BaTlCuO4 (PBE)

Data for a relaxed structure of BaTlCuO4.

abc: 6.013 5.817 7.072
angles: 90.00 108.29 90.00
Atoms (fractional coordinates):
1 Ba 0.721 0.750 0.932
2 Ba 0.279 0.250 0.068
3 Tl 0.811 0.750 0.448
4 Tl 0.189 0.250 0.552
5 Cu 0.259 0.750 0.323
6 Cu 0.741 0.250 0.677
7 O 0.981 0.479 0.713
8 O 0.019 0.979 0.287
9 O 0.019 0.521 0.287
10 O 0.981 0.021 0.713
11 O 0.458 0.750 0.164
12 O 0.542 0.250 0.836
13 O 0.503 0.750 0.556
14 O 0.497 0.250 0.444

Results
total magnetic moment = 0.290 μB per atom
E_tot = -5.07 eV/atom
formation energy from raw total energies = -7.3 eV/f.u.

=====

# 5
## BaTlCuO2 (PBE)

Data for a relaxed structure of BaTlCuO2.

abc: 4.592 6.159 4.592
angles: 90.00 90.00 90.00
Atoms (fractional coordinates):
1 O 0.000 0.000 0.500
2 O 0.500 0.000 0.000
3 Tl 0.500 0.500 0.500
4 Ba 0.000 0.000 0.000
5 Cu 0.000 0.500 0.000

Results
total magnetic moment = 0.000 μB per atom
E_tot = -3.76 eV/atom
energy above the most stable polymorph in this dataset = 1208 meV/atom
formation energy from raw total energies = -0.5 eV/f.u.

=====

# 6
## BaTl2CuO4 (PBE)

Data for a relaxed structure of BaTl2CuO4.

abc: 3.697 6.297 11.701
angles: 90.00 90.00 107.07
Atoms (fractional coordinates):
1 Ba 0.101 0.202 0.750
2 Ba 0.899 0.798 0.250
3 Tl 0.371 0.742 0.548
4 Tl 0.629 0.258 0.048
5 Tl 0.629 0.258 0.452
6 Tl 0.371 0.742 0.952
7 Cu 0.833 0.666 0.750
8 Cu 0.167 0.334 0.250
9 O 0.279 0.558 0.122
10 O 0.721 0.442 0.622
11 O 0.721 0.442 0.878
12 O 0.279 0.558 0.378
13 O 0.000 0.000 0.500
14 O 0.000 0.000 0.000
15 O 0.418 0.835 0.750
16 O 0.582 0.165 0.250

Results
total magnetic moment = 0.000 μB per atom
E_tot = -4.82 eV/atom
formation energy from raw total energies = -8.0 eV/f.u.

=====

# 7
## BaTmCuO3 (PBE)

Data for a relaxed structure of BaTmCuO3.

abc: 3.677 6.876 8.423
angles: 90.00 90.00 105.51
Atoms (fractional coordinates):
1 Ba 0.693 0.385 0.750
2 Ba 0.307 0.615 0.250
3 Tm 0.000 0.000 0.500
4 Tm 0.000 0.000 0.000
5 Cu 0.396 0.792 0.750
6 Cu 0.604 0.208 0.250
7 O 0.607 0.215 0.467
8 O 0.393 0.785 0.533
9 O 0.393 0.785 0.967
10 O 0.607 0.215 0.033
11 O 0.058 0.116 0.750
12 O 0.942 0.884 0.250

Results
total magnetic moment = 0.000 μB per atom
E_tot = -6.65 eV/atom
formation energy from raw total energies = -14.5 eV/f.u.

=====

# 8
## Ba4Tm2Cu6O13 (PBE)

Data for a relaxed structure of Ba4Tm2Cu6O13.

abc: 12.656 12.637 5.477
angles: 77.70 77.29 25.01
Atoms (fractional coordinates):
1 Ba 0.855 0.338 0.145
2 Ba 0.338 0.855 0.662
3 Ba 0.145 0.662 0.855
4 Ba 0.662 0.145 0.338
5 Tm 0.500 0.000 0.500
6 Tm 0.000 0.500 0.000
7 Cu 0.436 0.934 0.066
8 Cu 0.934 0.436 0.564
9 Cu 0.564 0.066 0.934
10 Cu 0.066 0.564 0.436
11 Cu 0.243 0.757 0.243
12 Cu 0.757 0.243 0.757
13 O 0.348 0.802 0.198
14 O 0.802 0.348 0.652
15 O 0.652 0.198 0.802
16 O 0.198 0.652 0.348
17 O 0.192 0.192 0.308
18 O 0.692 0.692 0.808
19 O 0.308 0.308 0.192
20 O 0.808 0.808 0.692
21 O 0.693 0.693 0.307
22 O 0.190 0.190 0.810
23 O 0.810 0.810 0.190
24 O 0.307 0.307 0.693
25 O 0.000 0.000 0.000

Results
total magnetic moment = 0.000 μB per atom
E_tot = -6.08 eV/atom
formation energy from raw total energies = -46.4 eV/f.u.

=====

Copy entry 4 word for word.
## BaTlCuO4 (PBE)

Data for a relaxed structure of BaTlCuO4.

abc: 6.013 5.817 7.072
angles: 90.00 108.29 90.00
Atoms (fractional coordinates):
1 Ba 0.721 0.750 0.932
2 Ba 0.279 0.250 0.068
3 Tl 0.811 0.750 0.448
4 Tl 0.189 0.250 0.552
5 Cu 0.259 0.750 0.323
6 Cu 0.741 0.250 0.677
7 O 0.981 0.479 0.713
8 O 0.019 0.979 0.287
9 O 0.019 0.521 0.287
10 O 0.981 0.021 0.713
11 O 0.458 0.750 0.164
12 O 0.542 0.250 0.836
13 O 0.503 0.750 0.556
14 O 0.497 0.250 0.444

Results
total magnetic moment = 0.290 μB per atom
E_tot = -5.07 eV/atom
formation energy from raw total energies = -7.3 eV/f.u.

=====

Which formula does entry 1 have? Ba2TlCu3O6

=====

Repeat the eighth record exactly.
## Ba4Tm2Cu6O13 (PBE)

Data for a relaxed structure of Ba4Tm2Cu6O13.

abc: 12.656 12.637 5.477
angles: 77.70 77.29 25.01
Atoms (fractional coordinates):
1 Ba 0.855 0.338 0.145
2 Ba 0.338 0.855 0.662
3 Ba 0.145 0.662 0.855
4 Ba 0.662 0.145 0.338
5 Tm 0.500 0.000 0.500
6 Tm 0.000 0.500 0.000
7 Cu 0.436 0.934 0.066
8 Cu 0.934 0.436 0.564
9 Cu 0.564 0.066 0.934
10 Cu 0.066 0.564 0.436
11 Cu 0.243 0.757 0.243
12 Cu 0.757 0.243 0.757
13 O 0.348 0.802 0.198
14 O 0.802 0.348 0.652
15 O 0.652 0.198 0.802
16 O 0.198 0.652 0.348
17 O 0.192 0.192 0.308
18 O 0.692 0.692 0.808
19 O 0.308 0.308 0.192
20 O 0.808 0.808 0.692
21 O 0.693 0.693 0.307
22 O 0.190 0.190 0.810
23 O 0.810 0.810 0.190
24 O 0.307 0.307 0.693
25 O 0.000 0.000 0.000

Results
total magnetic moment = 0.000 μB per atom
E_tot = -6.08 eV/atom
formation energy from raw total energies = -46.4 eV/f.u.

=====

Please write out number 7 again, unchanged.
## BaTmCuO3 (PBE)

Data for a relaxed structure of BaTmCuO3.

abc: 3.677 6.876 8.423
angles: 90.00 90.00 105.51
Atoms (fractional coordinates):
1 Ba 0.693 0.385 0.750
2 Ba 0.307 0.615 0.250
3 Tm 0.000 0.000 0.500
4 Tm 0.000 0.000 0.000
5 Cu 0.396 0.792 0.750
6 Cu 0.604 0.208 0.250
7 O 0.607 0.215 0.467
8 O 0.393 0.785 0.533
9 O 0.393 0.785 0.967
10 O 0.607 0.215 0.033
11 O 0.058 0.116 0.750
12 O 0.942 0.884 0.250

Results
total magnetic moment = 0.000 μB per atom
E_tot = -6.65 eV/atom
formation energy from raw total energies = -14.5 eV/f.u.